[1]
Sm6Tl2Bi: optimized geometry, PBE-GGA.

Geometry as POSCAR:
```
Sm6Tl2Bi
1.0
4.2249 0.0000 0.0000
0.0000 8.7837 0.0000
0.0000 -4.3919 7.6077
Tl Sm Bi
2 6 1
Direct
0.0000 0.6667 0.3333
0.0000 0.3334 0.6667
0.0000 0.7216 0.7215
0.5000 0.0000 0.6044
0.0000 0.0001 0.2785
0.5000 0.6044 0.0000
0.0000 0.2784 0.0000
0.5000 0.3956 0.3956
0.5000 0.9999 0.0000
```

The calculation puts the density of states at the Fermi level at 12.23 states/eV per cell. The calculation puts the formation enthalpy at 0 K at -368 meV/atom.

[2]
SmTl2Bi: optimized geometry, PBE-GGA.

Geometry as POSCAR:
```
SmTl2Bi
1.0
-1.6143 3.8464 2.5317
-3.6872 0.5277 -3.1528
-2.7591 -2.9561 2.7319
Tl Sm Bi
2 1 1
Direct
0.0000 0.0000 0.5000
0.0000 0.5000 0.0000
0.5000 0.0000 0.0000
0.5000 0.5000 0.5000
```

The calculation puts the density of states at the Fermi level at 1.10 states/eV per cell. The calculation puts the formation enthalpy at 0 K at -363 meV/atom.

[3]
SmTlBi: optimized geometry, PBE-GGA.

Geometry as POSCAR:
```
SmTlBi
1.0
-1.4059 -3.8392 -2.6675
-1.5524 -2.2440 4.0480
-5.5944 6.2724 -1.6120
Bi Sm Tl
2 2 2
Direct
0.5000 0.0000 0.0000
0.0000 0.5000 0.0000
0.8581 0.8581 0.7162
0.1419 0.1419 0.2838
0.3413 0.3413 0.6827
0.6587 0.6587 0.3173
```

The calculation puts the density of states at the Fermi level at 3.87 states/eV per cell. For the polymorph energy (0 for the lowest one), the calculation gives 0 meV per atom. The calculation puts the formation enthalpy at 0 K at -355 meV/atom.

[4]
SmTlBi: optimized geometry, PBE-GGA.

Geometry as POSCAR:
```
SmTlBi
1.0
4.3754 0.0000 0.0000
0.0000 4.3754 0.0000
-2.1877 -2.1877 4.9089
Tl Bi Sm
1 1 1
Direct
0.2789 0.2789 0.5578
0.9654 0.9654 0.9307
0.6057 0.6057 0.2115
```

The calculation puts the density of states at the Fermi level at 2.70 states/eV per cell. For the polymorph energy (0 for the lowest one), the calculation gives 33 meV per atom. The calculation puts the formation enthalpy at 0 K at -322 meV/atom.

[5]
Sm8TlBi5: optimized geometry, PBE-GGA.

Geometry as POSCAR:
```
Sm8TlBi5
1.0
7.8406 0.0000 -2.7065
-3.9071 6.7623 -2.7940
-0.0265 0.0000 8.2946
Sm Tl Bi
8 1 5
Direct
0.7723 0.2518 0.3772
0.1255 0.7482 0.5205
0.9841 0.1095 0.7326
0.1254 0.7484 0.0159
0.4795 0.6049 0.2277
0.2674 0.2516 0.3769
0.6231 0.8905 0.8746
0.6228 0.3951 0.8745
0.2500 0.5000 0.7500
0.7496 0.6261 0.6234
0.3766 0.1263 0.0028
0.8765 0.8737 0.2504
0.5000 0.0000 0.5000
0.9972 0.3739 0.1235
```

The calculation puts the density of states at the Fermi level at 15.77 states/eV per cell. The calculation puts the formation enthalpy at 0 K at -730 meV/atom.

[6]
SmTmTlBi: optimized geometry, PBE-GGA.

Geometry as POSCAR:
```
SmTmTlBi
1.0
-4.2865 -3.2225 -1.0487
0.4708 -5.4211 0.4981
-2.5297 -2.5980 4.0877
Bi Tm Sm Tl
1 1 1 1
Direct
0.5000 0.5000 0.5000
0.2500 0.2500 0.2500
0.7500 0.7500 0.7500
0.0000 0.0000 0.0000
```

The calculation puts the density of states at the Fermi level at 3.86 states/eV per cell. The calculation puts the formation enthalpy at 0 K at -399 meV/atom.

[7]
SmYTlBi: optimized geometry, PBE-GGA.

Geometry as POSCAR:
```
SmYTlBi
1.0
-3.1937 1.5900 -4.1738
-1.6072 -3.6513 -3.7728
-5.2471 -1.6042 -0.2078
Bi Y Sm Tl
1 1 1 1
Direct
0.2500 0.2500 0.2500
0.5000 0.5000 0.5000
0.0000 0.0000 0.0000
0.7500 0.7500 0.7500
```

The calculation puts the density of states at the Fermi level at 4.00 states/eV per cell. The calculation puts the formation enthalpy at 0 K at -446 meV/atom.

[8]
SmTm8Bi6: optimized geometry, PBE-GGA.

Geometry as POSCAR:
```
SmTm8Bi6
1.0
-5.9751 4.6624 0.1272
-4.2648 0.5258 6.2443
2.3061 8.9691 5.4205
Tm Bi Sm
8 6 1
Direct
0.4460 0.7955 0.6327
0.3337 0.3337 0.9989
0.1258 0.4460 0.6327
0.7955 0.1258 0.6327
0.2045 0.8742 0.3673
0.6663 0.6663 0.0011
0.5540 0.2045 0.3673
0.8742 0.5540 0.3673
0.9387 0.2764 0.1898
0.0613 0.7236 0.8102
0.5951 0.9387 0.1898
0.7236 0.4049 0.8102
0.4049 0.0613 0.8102
0.2764 0.5951 0.1898
0.0000 0.0000 0.0000
```

The calculation puts the density of states at the Fermi level at 9.48 states/eV per cell. The calculation puts the formation enthalpy at 0 K at -459 meV/atom.

[9]
SmTmBi: optimized geometry, PBE-GGA.

Geometry as POSCAR:
```
SmTmBi
1.0
-3.1076 1.0580 -2.3905
-1.5477 -3.7373 0.3579
-0.5023 2.9313 5.3996
Tm Bi Sm
1 1 1
Direct
0.9369 0.9369 0.8738
0.2887 0.2887 0.5774
0.6244 0.6244 0.2488
```

The calculation puts the density of states at the Fermi level at 2.41 states/eV per cell. The calculation puts the formation enthalpy at 0 K at -455 meV/atom.

[10]
SmTmBi: optimized geometry, PBE-GGA.

Geometry as POSCAR:
```
SmTmBi
1.0
-0.0397 5.2707 1.7731
0.2381 -4.1665 3.6698
7.4187 1.1874 -3.3636
Sm Tm Bi
2 2 2
Direct
0.3521 0.7043 0.5569
0.6479 0.2957 0.4431
0.0763 0.1526 0.7288
0.9237 0.8474 0.2712
0.2171 0.4342 0.1517
0.7829 0.5658 0.8483
```

The calculation puts the density of states at the Fermi level at 5.63 states/eV per cell. The calculation puts the formation enthalpy at 0 K at -282 meV/atom.

[11]
SmTmBi: optimized geometry, PBE-GGA.

Geometry as POSCAR:
```
SmTmBi
1.0
-2.4803 1.7478 1.6864
-2.7202 -5.6174 -1.7516
4.0380 -1.7443 7.7466
Sm Tm Bi
2 2 2
Direct
0.1827 0.3654 0.6509
0.8173 0.6346 0.3491
0.3692 0.7383 0.0221
0.6308 0.2617 0.9779
0.0680 0.1361 0.2754
0.9320 0.8639 0.7246
```

The calculation puts the density of states at the Fermi level at 5.58 states/eV per cell. The calculation puts the formation enthalpy at 0 K at -378 meV/atom.

[12]
Sm2TmBi: optimized geometry, PBE-GGA.

Geometry as POSCAR:
```
Sm2TmBi
1.0
-0.8220 0.9005 3.3374
-1.4887 -2.3882 2.1691
10.3088 -4.0521 5.5237
Bi Sm Tm
1 2 1
Direct
0.0000 0.0000 0.0000
0.9120 0.9120 0.2640
0.0880 0.0880 0.7360
0.5000 0.5000 0.5000
```

The calculation puts the density of states at the Fermi level at 4.76 states/eV per cell. For the polymorph energy (0 for the lowest one), the calculation gives 393 meV per atom. The calculation puts the formation enthalpy at 0 K at 8 meV/atom.